Entry from the Alexandria database: a geometry-optimized Sr2TlMoO6 structure (GGA+U).

Values from the calculation:
energy: -61.871 eV per cell

Cell: 4.736 5.975 5.975 Å, 90.00 90.00 90.00°
Element x y z (fractional)
Sr  0.012  0.500  0.000
Sr  0.012  0.000  0.500
O  0.723  0.217  0.217
O  0.229  0.000  0.000
O  0.723  0.217  0.783
O  0.723  0.783  0.217
O  0.723  0.783  0.783
O  0.107  0.500  0.500
Tl  0.583  0.500  0.500
Mo  0.611  0.000  0.000